# Tb2Dy4Er2Tm | Alexandria | PBE | optimized geometry
# **D(E_F)**: 1.32 states/eV per atom
# **Energy relative to the elements**: 0.006 eV/atom
# **Spin magnetization**: 0.00 Bohr magnetons per cell
data_Tb2Dy4Er2Tm
_symmetry_space_group_name_H-M 'P 1'
_symmetry_Int_Tables_number 1
_cell_length_a 3.559
_cell_length_b 9.409
_cell_length_c 9.444
_cell_angle_alpha 115.25
_cell_angle_beta 90.00
_cell_angle_gamma 100.90
loop_
_symmetry_equiv_pos_as_xyz
'x,y,z'
loop_
_atom_site_label
_atom_site_type_symbol
_atom_site_fract_x
_atom_site_fract_y
_atom_site_fract_z
Tb1 Tb 0.852 0.704 0.333
Tb2 Tb 0.148 0.296 0.667
Dy1 Dy 0.815 0.630 0.667
Dy2 Dy 0.185 0.370 0.333
Dy3 Dy 0.518 0.037 0.332
Dy4 Dy 0.482 0.963 0.668
Er1 Er 0.334 0.667 0.000
Er2 Er 0.666 0.333 0.000
Tm1 Tm 0.000 0.000 0.000